Entry 1:
This record from Alexandria describes crystalline Ho3ErTe2 at its relaxed geometry. The functional is PBE-GGA.

Properties
density	8.65	Mg/m³
formation energy without anion corrections	-746	meV per atom
V	176	Å³/f.u.

a = 9.1021 Å, b = 9.1021 Å, c = 10.1804 Å
α = 90.33°, β = 90.33°, γ = 24.68°
Fractional coordinates of all 12 atoms:
Ho: 0.0165 0.0165 0.3485
Ho: 0.3583 0.3583 0.4596
Ho: 0.3915 0.3915 0.8778
Ho: 0.6085 0.6085 0.1222
Ho: 0.6417 0.6417 0.5404
Ho: 0.9835 0.9835 0.6515
Er: 0.1994 0.1994 0.8629
Er: 0.8006 0.8006 0.1371
Te: 0.2018 0.2018 0.3136
Te: 0.4335 0.4335 0.1666
Te: 0.5665 0.5665 0.8334
Te: 0.7982 0.7982 0.6864

Entry 2:
This record from Alexandria describes crystalline LaSn2BOs at its relaxed geometry. The functional is PBE-GGA.

Properties
density	9.07	Mg/m³
V	106	Å³/f.u.
energy relative to the elements	0.94	eV per formula unit

a = 5.0042 Å, b = 5.0042 Å, c = 4.2198 Å
α = 90.00°, β = 90.00°, γ = 90.00°
Fractional coordinates of all 5 atoms:
La: 0.0000 0.0000 0.0000
Sn: 0.0000 0.5000 0.5000
Sn: 0.5000 0.0000 0.5000
B: 0.5000 0.5000 0.5000
Os: 0.5000 0.5000 0.0000